Below is TbNbO4 at its PBEsol-relaxed geometry, with properties calculated at the SCAN level.

Unit cell a=7.438 b=5.279 c=7.628 alpha=90.00 beta=97.31 gamma=90.00
Space group P2_1/c (No. 14)
Unique sites:
Tb 0.142 0.225 0.390 (multiplicity 4)
Nb 0.338 0.723 0.173 (multiplicity 4)
O 0.110 0.001 0.664 (multiplicity 4)
O 0.166 0.509 0.620 (multiplicity 4)
O 0.335 0.620 0.932 (multiplicity 4)
O 0.429 0.097 0.816 (multiplicity 4)

Computed properties:
N(E_F): 0.00 states/eV/cell
Uncorrected formation energy: -3338.1 meV per atom